The following is a DFT calculation (GGA-PBE) of a relaxed structure of CeHfIn2.

## Properties
The calculation puts the formation energy from the elements at -0.1339 eV per atom. Its symmetry is R-3m, No. 166.

Cell: 3.212 3.212 32.486 Å, 90.00 90.00 120.00°
Fractional coordinates of all 12 atoms:
Ce (0.000, 0.000, 0.000)
Ce (0.333, 0.667, 0.667)
Ce (0.667, 0.333, 0.333)
Hf (0.000, 0.000, 0.500)
Hf (0.333, 0.667, 0.167)
Hf (0.667, 0.333, 0.833)
In (0.000, 0.000, 0.246)
In (0.000, 0.000, 0.754)
In (0.333, 0.667, 0.421)
In (0.333, 0.667, 0.912)
In (0.667, 0.333, 0.088)
In (0.667, 0.333, 0.579)

=====

The following is a DFT calculation (GGA-PBE) of a relaxed structure of CeLuHfIn.

## Properties
The calculation puts the formation energy from the elements at 0.0460 eV per atom. Its symmetry is F-43m, No. 216.

Cell: 7.330 7.330 7.330 Å, 90.00 90.00 90.00°
Fractional coordinates of all 16 atoms:
Ce (0.000, 0.000, 0.000)
Ce (0.000, 0.500, 0.500)
Ce (0.500, 0.000, 0.500)
Ce (0.500, 0.500, 0.000)
Lu (0.250, 0.250, 0.250)
Lu (0.250, 0.750, 0.750)
Lu (0.750, 0.250, 0.750)
Lu (0.750, 0.750, 0.250)
Hf (0.250, 0.250, 0.750)
Hf (0.250, 0.750, 0.250)
Hf (0.750, 0.250, 0.250)
Hf (0.750, 0.750, 0.750)
In (0.000, 0.000, 0.500)
In (0.000, 0.500, 0.000)
In (0.500, 0.000, 0.000)
In (0.500, 0.500, 0.500)

=====

The following is a DFT calculation (GGA-PBE) of a relaxed structure of CeHf2Ir.

## Properties
For the offset from the most stable computed form, the calculation gives 0.176 eV per atom. The calculation puts the formation energy from the elements at -0.2237 eV per atom. Its symmetry is R3m, No. 160.

Cell: 4.637 4.637 15.448 Å, 90.00 90.00 120.00°
Fractional coordinates of all 12 atoms:
Ce (0.000, 0.000, 0.000)
Ce (0.333, 0.667, 0.667)
Ce (0.667, 0.333, 0.333)
Hf (0.000, 0.000, 0.211)
Hf (0.000, 0.000, 0.438)
Hf (0.333, 0.667, 0.105)
Hf (0.333, 0.667, 0.878)
Hf (0.667, 0.333, 0.545)
Hf (0.667, 0.333, 0.771)
Ir (0.000, 0.000, 0.820)
Ir (0.333, 0.667, 0.487)
Ir (0.667, 0.333, 0.153)

=====

The following is a DFT calculation (GGA-PBE) of a relaxed structure of CeHf2Ir.

## Properties
For the offset from the most stable computed form, the calculation gives 0.257 eV per atom. The calculation puts the formation energy from the elements at -0.1426 eV per atom. Its symmetry is R-3m, No. 166.

Cell: 4.361 4.361 17.861 Å, 90.00 90.00 120.00°
Fractional coordinates of all 12 atoms:
Ce (0.000, 0.000, 0.000)
Ce (0.333, 0.667, 0.667)
Ce (0.667, 0.333, 0.333)
Hf (0.000, 0.000, 0.218)
Hf (0.000, 0.000, 0.782)
Hf (0.333, 0.667, 0.449)
Hf (0.333, 0.667, 0.885)
Hf (0.667, 0.333, 0.115)
Hf (0.667, 0.333, 0.551)
Ir (0.000, 0.000, 0.500)
Ir (0.333, 0.667, 0.167)
Ir (0.667, 0.333, 0.833)

=====

The following is a DFT calculation (GGA-PBE) of a relaxed structure of CeHf2Ir2.

## Properties
The calculation puts the formation energy from the elements at -0.7650 eV per atom. Its symmetry is I4/mmm, No. 139.

Cell: 4.482 4.482 11.084 Å, 90.00 90.00 90.00°
Fractional coordinates of all 10 atoms:
Ce (0.000, 0.000, 0.000)
Ce (0.500, 0.500, 0.500)
Hf (0.000, 0.500, 0.250)
Hf (0.000, 0.500, 0.750)
Hf (0.500, 0.000, 0.250)
Hf (0.500, 0.000, 0.750)
Ir (0.000, 0.000, 0.381)
Ir (0.000, 0.000, 0.619)
Ir (0.500, 0.500, 0.119)
Ir (0.500, 0.500, 0.881)

=====

The following is a DFT calculation (GGA-PBE) of a relaxed structure of CeHfIr.

## Properties
The calculation puts the formation energy from the elements at -0.4641 eV per atom. Its symmetry is I4mm, No. 107.

Cell: 3.271 3.271 12.307 Å, 90.00 90.00 90.00°
Fractional coordinates of all 6 atoms:
Ce (0.000, 0.000, 0.000)
Ce (0.500, 0.500, 0.500)
Hf (0.000, 0.000, 0.290)
Hf (0.500, 0.500, 0.790)
Ir (0.000, 0.000, 0.673)
Ir (0.500, 0.500, 0.173)

=====

The following is a DFT calculation (GGA-PBE) of a relaxed structure of Ce2HfIr.

## Properties
The calculation puts the formation energy from the elements at 0.1065 eV per atom. Its symmetry is R-3m, No. 166.

Cell: 3.025 3.025 32.866 Å, 90.00 90.00 120.00°
Fractional coordinates of all 12 atoms:
Ce (0.000, 0.000, 0.093)
Ce (0.000, 0.000, 0.907)
Ce (0.333, 0.667, 0.574)
Ce (0.333, 0.667, 0.759)
Ce (0.667, 0.333, 0.241)
Ce (0.667, 0.333, 0.426)
Hf (0.000, 0.000, 0.000)
Hf (0.333, 0.667, 0.667)
Hf (0.667, 0.333, 0.333)
Ir (0.000, 0.000, 0.500)
Ir (0.333, 0.667, 0.167)
Ir (0.667, 0.333, 0.833)

=====

The following is a DFT calculation (GGA-PBE) of a relaxed structure of CeHf2Ir.

## Properties
For the offset from the most stable computed form, the calculation gives 0.000 eV per atom. The calculation puts the formation energy from the elements at -0.3992 eV per atom. Its symmetry is P4/mmm, No. 123.

Cell: 3.319 3.319 7.756 Å, 90.00 90.00 90.00°
Fractional coordinates of all 4 atoms:
Ce (0.000, 0.000, 0.000)
Hf (0.500, 0.500, 0.298)
Hf (0.500, 0.500, 0.702)
Ir (0.000, 0.000, 0.500)

=====

The following is a DFT calculation (GGA-PBE) of a relaxed structure of LiCeHfIr.

## Properties
The calculation puts the formation energy from the elements at -0.3006 eV per atom. Its symmetry is F-43m, No. 216.

Cell: 6.809 6.809 6.809 Å, 90.00 90.00 90.00°
Fractional coordinates of all 16 atoms:
Li (0.000, 0.000, 0.000)
Li (0.000, 0.500, 0.500)
Li (0.500, 0.000, 0.500)
Li (0.500, 0.500, 0.000)
Ce (0.250, 0.250, 0.750)
Ce (0.250, 0.750, 0.250)
Ce (0.750, 0.250, 0.250)
Ce (0.750, 0.750, 0.750)
Hf (0.250, 0.250, 0.250)
Hf (0.250, 0.750, 0.750)
Hf (0.750, 0.250, 0.750)
Hf (0.750, 0.750, 0.250)
Ir (0.000, 0.000, 0.500)
Ir (0.000, 0.500, 0.000)
Ir (0.500, 0.000, 0.000)
Ir (0.500, 0.500, 0.500)

=====

The following is a DFT calculation (GGA-PBE) of a relaxed structure of CeHfIrPd.

## Properties
The calculation puts the formation energy from the elements at -0.6097 eV per atom. Its symmetry is F-43m, No. 216.

Cell: 6.831 6.831 6.831 Å, 90.00 90.00 90.00°
Fractional coordinates of all 16 atoms:
Ce (0.000, 0.000, 0.000)
Ce (0.000, 0.500, 0.500)
Ce (0.500, 0.000, 0.500)
Ce (0.500, 0.500, 0.000)
Hf (0.000, 0.000, 0.500)
Hf (0.000, 0.500, 0.000)
Hf (0.500, 0.000, 0.000)
Hf (0.500, 0.500, 0.500)
Ir (0.250, 0.250, 0.750)
Ir (0.250, 0.750, 0.250)
Ir (0.750, 0.250, 0.250)
Ir (0.750, 0.750, 0.750)
Pd (0.250, 0.250, 0.250)
Pd (0.250, 0.750, 0.750)
Pd (0.750, 0.250, 0.750)
Pd (0.750, 0.750, 0.250)

=====

The following is a DFT calculation (GGA-PBE) of a relaxed structure of CeHfIrRh.

## Properties
The calculation puts the formation energy from the elements at -0.6644 eV per atom. Its symmetry is F-43m, No. 216.

Cell: 6.766 6.766 6.766 Å, 90.00 90.00 90.00°
Fractional coordinates of all 16 atoms:
Ce (0.000, 0.000, 0.000)
Ce (0.000, 0.500, 0.500)
Ce (0.500, 0.000, 0.500)
Ce (0.500, 0.500, 0.000)
Hf (0.000, 0.000, 0.500)
Hf (0.000, 0.500, 0.000)
Hf (0.500, 0.000, 0.000)
Hf (0.500, 0.500, 0.500)
Ir (0.250, 0.250, 0.250)
Ir (0.250, 0.750, 0.750)
Ir (0.750, 0.250, 0.750)
Ir (0.750, 0.750, 0.250)
Rh (0.250, 0.250, 0.750)
Rh (0.250, 0.750, 0.250)
Rh (0.750, 0.250, 0.250)
Rh (0.750, 0.750, 0.750)

=====

The following is a DFT calculation (GGA-PBE) of a relaxed structure of Ce2HfSi3Ir4.

## Properties
Its symmetry is P-4m2, No. 115. As for the raw formation energy: -1.005 eV/atom.

Cell: 4.126 4.126 10.696 Å, 90.00 90.00 90.00°
Fractional coordinates of all 10 atoms:
Ce (0.000, 0.500, 0.237)
Ce (0.500, 0.000, 0.763)
Hf (0.000, 0.000, 0.500)
Si (0.000, 0.500, 0.878)
Si (0.500, 0.000, 0.122)
Si (0.500, 0.500, 0.500)
Ir (0.000, 0.000, 0.000)
Ir (0.000, 0.500, 0.651)
Ir (0.500, 0.000, 0.349)
Ir (0.500, 0.500, 0.000)

=====

The following is a DFT calculation (GGA-PBE) of a relaxed structure of CeHfTcIr.

## Properties
The calculation puts the formation energy from the elements at -0.4622 eV per atom. Its symmetry is F-43m, No. 216.

Cell: 6.734 6.734 6.734 Å, 90.00 90.00 90.00°
Fractional coordinates of all 16 atoms:
Ce (0.000, 0.000, 0.000)
Ce (0.000, 0.500, 0.500)
Ce (0.500, 0.000, 0.500)
Ce (0.500, 0.500, 0.000)
Hf (0.000, 0.000, 0.500)
Hf (0.000, 0.500, 0.000)
Hf (0.500, 0.000, 0.000)
Hf (0.500, 0.500, 0.500)
Tc (0.250, 0.250, 0.750)
Tc (0.250, 0.750, 0.250)
Tc (0.750, 0.250, 0.250)
Tc (0.750, 0.750, 0.750)
Ir (0.250, 0.250, 0.250)
Ir (0.250, 0.750, 0.750)
Ir (0.750, 0.250, 0.750)
Ir (0.750, 0.750, 0.250)

=====

| no. | N(E_F) (states/eV per atom) |
| --- | --- |
| 1 | 1.380 |
| 2 | 1.704 |
| 3 | 1.473 |
| 4 | 2.005 |
| 5 | 1.729 |
| 6 | 1.975 |
| 7 | 1.973 |
| 8 | 1.526 |
| 9 | 1.641 |
| 10 | 1.778 |
| 11 | 1.586 |
| 12 | 0.942 |
| 13 | 1.023 |